This record from Alexandria describes LaSc2Rh after structural relaxation. The functional is PBE.

Calculated values
- VASP energy: -6.58 eV per atom
- Volume: 26.345 Å³/atom
- Calculated formation energy: -0.35 eV/atom

Cell: 4.3894 4.3894 18.9469 Å, 90.00 90.00 120.00°
Last column: nearest neighbours and their distance in Å.
Space group R3m (No. 160, hexagonal axes)
Inequivalent atoms, fractional coordinates:
La: 0.0000 0.0000 0.0000 (multiplicity 3)  1 Rh 3.31, 6 Sc 3.37-3.43
Sc: 0.0000 0.0000 0.2111 (multiplicity 3)  3 Rh 2.72
Sc: 0.0000 0.0000 0.4508 (multiplicity 3)  3 Rh 2.65
Rh: 0.0000 0.0000 0.8255 (multiplicity 3)  6 Sc 2.65-2.72